# 1
The following is a PBE-GGA calculation of a geometry-optimized YAs12Os4 structure, from the Alexandria database.

Cell: 7.465 7.465 7.465 Å, 109.47 109.47 109.47°
Atoms (fractional coordinates):
As  0.495  0.149  0.346
As  0.654  0.505  0.851
Y  0.000  0.000  0.000
As  0.505  0.851  0.654
As  0.346  0.198  0.851
Os  0.500  0.500  0.500
As  0.346  0.495  0.149
Os  0.000  0.000  0.500
As  0.851  0.654  0.505
As  0.802  0.149  0.654
As  0.198  0.851  0.346
Os  0.000  0.500  0.000
As  0.149  0.346  0.495
As  0.149  0.654  0.802
As  0.654  0.802  0.149
Os  0.500  0.000  0.000
As  0.851  0.346  0.198

Results
E_form (eV per atom): -0.304
SG: Im-3, No. 204
Uncorrected energy (eV per atom): -6.61



# 2
The following is a PBE-GGA calculation of a geometry-optimized Y2As2Os structure, from the Alexandria database.

Cell: 6.651 6.651 4.467 Å, 90.00 90.00 90.00°
Atoms (fractional coordinates):
Y  0.326  0.174  0.500
Os  0.000  0.000  0.000
As  0.857  0.643  0.000
Y  0.826  0.326  0.500
Os  0.500  0.500  0.000
As  0.357  0.857  0.000
Y  0.674  0.826  0.500
Y  0.174  0.674  0.500
As  0.143  0.357  0.000
As  0.643  0.143  0.000

Results
E_form (eV per atom): -0.773
SG: P4/mbm, No. 127
Uncorrected energy (eV per atom): -7.46



# 3
The following is a PBE-GGA calculation of a geometry-optimized Y4AsOs structure, from the Alexandria database.

Cell: 5.936 5.936 5.936 Å, 60.00 60.00 60.00°
Site moments in Bohr magnetons follow the coordinates.
Atoms (fractional coordinates):
Os  0.000  0.000  0.000  0.10
As  0.750  0.750  0.750  -0.01
Y  0.374  0.879  0.374  0.16
Y  0.374  0.374  0.879  0.16
Y  0.879  0.374  0.374  0.16
Y  0.374  0.374  0.374  0.16

Results
E_form (eV per atom): 0.749
SG: F-43m, No. 216
Uncorrected energy (eV per atom): -6.21



# 4
The following is a PBE-GGA calculation of a geometry-optimized YAs3Os structure, from the Alexandria database.

Cell: 4.859 4.859 4.859 Å, 90.00 90.00 90.00°
Atoms (fractional coordinates):
As  0.000  0.000  0.500
As  0.000  0.500  0.000
Os  0.000  0.000  0.000
Y  0.500  0.500  0.500
As  0.500  0.000  0.000

Results
E_form (eV per atom): 0.213
SG: Pm-3m, No. 221
Uncorrected energy (eV per atom): -6.12



# 5
The following is a PBE-GGA calculation of a geometry-optimized YZnAs2Os structure, from the Alexandria database.

Cell: 5.378 5.255 5.378 Å, 90.00 90.00 90.00°
Site moments in Bohr magnetons follow the coordinates.
Atoms (fractional coordinates):
Os  0.000  0.500  0.000  1.96
As  0.500  0.000  0.000  0.00
Y  0.000  0.000  0.000  -0.03
Zn  0.500  0.500  0.500  0.02
As  0.000  0.000  0.500  -0.05

Results
E_form (eV per atom): 1.446
SG: P4/mmm, No. 123
Uncorrected energy (eV per atom): -4.21



# 6
The following is a PBE-GGA calculation of a geometry-optimized YZrAsOs2 structure, from the Alexandria database.

Cell: 4.593 5.032 4.593 Å, 90.00 90.00 90.00°
Atoms (fractional coordinates):
As  0.000  0.000  0.000
Os  0.000  0.000  0.500
Os  0.500  0.000  0.000
Y  0.000  0.500  0.000
Zr  0.500  0.500  0.500

Results
E_form (eV per atom): 0.669
SG: P4/mmm, No. 123
Uncorrected energy (eV per atom): -7.76